[1]
Here is an optimized crystal structure of ScTl2Br from Alexandria via LeMat-Bulk. Energies are from PBE-GGA.

POSCAR file:
```
ScTl2Br
1.0
-6.3141 5.2563 5.6179
-6.7985 -7.2141 -0.8913
-5.5975 -2.1511 4.5375
Sc Tl Br
2 4 2
Direct
0.5000 0.5000 0.0000 Sc
0.2500 0.7500 0.5000 Sc
0.5383 0.1250 0.2500 Tl
0.2117 0.6250 0.2500 Tl
0.3750 0.4617 0.7500 Tl
0.8750 0.7883 0.7500 Tl
0.0000 0.0000 0.0000 Br
0.7500 0.2500 0.5000 Br
```

Properties
**Uncorrected formation energy**: -0.15 eV per atom
**Symmetry**: I-42d, No. 122
**DOS at the Fermi energy**: 3.01 states/eV/f.u.

***

[2]
Here is an optimized crystal structure of La2TbNd7Cd2 from Alexandria via LeMat-Bulk. Energies are from PBE-GGA.

POSCAR file:
```
La2TbNd7Cd2
1.0
-3.0397 -4.7342 2.6171
3.0868 -2.2094 4.9083
-5.4258 0.2797 14.1998
La Tb Nd Cd
2 1 7 2
Direct
0.8507 0.8507 0.6495 La
0.1493 0.1493 0.3505 La
0.0000 0.0000 0.0000 Tb
0.5000 0.5000 0.0000 Nd
0.3127 0.3127 0.4992 Nd
0.6873 0.6873 0.5008 Nd
0.8322 0.3324 0.1680 Nd
0.3324 0.8322 0.1680 Nd
0.6676 0.1678 0.8320 Nd
0.1678 0.6676 0.8320 Nd
0.7289 0.7289 0.2719 Cd
0.2711 0.2711 0.7281 Cd
```

Properties
**Formation energy from the elements**: -0.2 kcal/mol of atoms
**Symmetry**: C2/m, No. 12
**DOS at the Fermi energy**: 18.88 states/eV/f.u.